Entry 1:
This record from Alexandria describes a relaxed Na6HgCl8 crystal. The functional is PBE-GGA.

Geometry as CIF:
```
data_Na6HgCl8
_chemical_formula_sum 'Na24 Hg4 Cl32'
_cell_length_a 11.398
_cell_length_b 11.398
_cell_length_c 11.398
_cell_angle_alpha 90.00
_cell_angle_beta 90.00
_cell_angle_gamma 90.00
_space_group_name_H-M_alt 'F m -3 m'
_space_group_IT_number 225
_space_group_name_Hall '-F 4 2 3'
loop_
_atom_site_label
_atom_site_type_symbol
_atom_site_fract_x
_atom_site_fract_y
_atom_site_fract_z
_atom_site_occupancy
Na1 Na 0.000 0.250 0.250 1
Hg1 Hg 0.000 0.000 0.000 1
Cl1 Cl 0.000 0.000 0.239 1
Cl2 Cl 0.250 0.250 0.250 1
```

## Properties
For the uncorrected formation energy, the calculation gives -1.5621 eV per atom. The crystal system is cubic. For the electronic total energy, the calculation gives -0.227 Ry per atom.

***

Entry 2:
This record from Alexandria describes a relaxed Na5Hg3Cl12 crystal. The functional is PBE-GGA.

Geometry as CIF:
```
data_Na5Hg3Cl12
_chemical_formula_sum 'Na40 Hg24 Cl96'
_cell_length_a 16.891
_cell_length_b 16.891
_cell_length_c 16.891
_cell_angle_alpha 90.00
_cell_angle_beta 90.00
_cell_angle_gamma 90.00
_space_group_name_H-M_alt 'I a -3 d'
_space_group_IT_number 230
_space_group_name_Hall '-I 4bd 2c 3'
loop_
_atom_site_label
_atom_site_type_symbol
_atom_site_fract_x
_atom_site_fract_y
_atom_site_fract_z
_atom_site_occupancy
Na1 Na 0.000 0.000 0.000 1
Na2 Na 0.000 0.250 0.375 1
Hg1 Hg 0.000 0.250 0.125 1
Cl1 Cl 0.016 0.045 0.342 1
```

## Properties
For the uncorrected formation energy, the calculation gives -1.0779 eV per atom. The crystal system is cubic. For the electronic total energy, the calculation gives -0.188 Ry per atom.

***

Entry 3:
This record from Alexandria describes a relaxed NaHg3Cl crystal. The functional is PBE-GGA.

Geometry as CIF:
```
data_NaHg3Cl
_chemical_formula_sum 'Na1 Hg3 Cl1'
_cell_length_a 5.783
_cell_length_b 5.783
_cell_length_c 5.783
_cell_angle_alpha 90.00
_cell_angle_beta 90.00
_cell_angle_gamma 90.00
_space_group_name_H-M_alt 'P m -3 m'
_space_group_IT_number 221
_space_group_name_Hall '-P 4 2 3'
loop_
_atom_site_label
_atom_site_type_symbol
_atom_site_fract_x
_atom_site_fract_y
_atom_site_fract_z
_atom_site_occupancy
Na1 Na 0.000 0.000 0.000 1
Hg1 Hg 0.000 0.000 0.500 1
Cl1 Cl 0.500 0.500 0.500 1
```

## Properties
For the uncorrected formation energy, the calculation gives -0.1638 eV per atom. The crystal system is cubic. For the electronic total energy, the calculation gives -0.072 Ry per atom.